P) ## Ge2AsBr (GGA-PBE)

Data for an optimized crystal structure of Ge2AsBr.

Geometry as POSCAR:
```
Ge2AsBr
1.0
4.1478 0.0000 0.0000
2.0739 3.5921 0.0000
2.0739 1.1974 7.8667
Br Ge As
1 2 1
direct
0.0000 0.0000 0.0000 Br
0.1122 0.1122 0.6635 Ge
0.8878 0.8878 0.3365 Ge
0.5000 0.5000 0.5000 As
```

The crystal system is trigonal.

=====

Q) ## Ge2AsBr (GGA-PBE)

Data for an optimized crystal structure of Ge2AsBr.

Geometry as POSCAR:
```
Ge2AsBr
1.0
-2.8240 6.6821 -0.9078
-6.3475 -2.9662 -2.0880
-5.8551 1.8477 2.3753
As Ge Br
2 4 2
direct
0.2500 0.7500 0.5000 As
0.5000 0.5000 0.0000 As
0.1669 0.6250 0.2500 Ge
0.8750 0.8331 0.7500 Ge
0.5831 0.1250 0.2500 Ge
0.3750 0.4169 0.7500 Ge
0.0000 0.0000 0.0000 Br
0.7500 0.2500 0.5000 Br
```

The crystal system is tetragonal.

=====

Last place for stability: Q)

=====

P) ## GeAs2HBr (GGA-PBE)

Data for an optimized crystal structure of GeAs2HBr.

Geometry as POSCAR:
```
GeAs2HBr
1.0
-3.5022 0.9713 -1.7479
0.1209 -3.4159 -2.1403
-2.9057 -2.7822 4.2762
As H Br Ge
2 1 1 1
direct
0.0000 0.5000 0.0000 As
0.5000 0.0000 0.0000 As
0.0000 0.0000 0.0000 H
0.0000 0.0000 0.5000 Br
0.5000 0.5000 0.5000 Ge
```

The crystal system is tetragonal.

=====

Q) ## GeAs2HBr (GGA-PBE)

Data for an optimized crystal structure of GeAs2HBr.

Geometry as POSCAR:
```
GeAs2HBr
1.0
5.0545 0.0000 0.0000
0.0000 5.0545 0.0000
0.0000 0.0000 5.5613
Ge As H Br
1 2 1 1
direct
0.0000 0.0000 0.0000 Ge
0.0000 0.5000 0.0000 As
0.5000 0.0000 0.0000 As
0.5000 0.5000 0.5000 H
0.0000 0.0000 0.5000 Br
```

The crystal system is tetragonal.

=====

Last place for stability: Q)